An optimized crystal structure of AcVAsO6. Source: Alexandria, functional PBE with a Hubbard U.

The structure in CIF format:
```
data_AcVAsO6
_chemical_formula_sum 'Ac1 V1 As1 O6'
_cell_length_a 5.1139
_cell_length_b 5.1139
_cell_length_c 5.3506
_cell_angle_alpha 90.00
_cell_angle_beta 90.00
_cell_angle_gamma 120.00
_space_group_name_H-M_alt 'P 3 1 2'
_space_group_IT_number 149
_space_group_name_Hall 'P 3 2'
loop_
_atom_site_label
_atom_site_fract_x
_atom_site_fract_y
_atom_site_fract_z
Ac1 0.0000 0.0000 0.0000
V1 0.6667 0.3333 0.5000
As1 0.3333 0.6667 0.5000
O1 0.0130 0.3947 0.7008
```

- Total DFT energy (no corrections): -7.34 eV/atom
- Total moment: 1.00 μB/cell



An optimized crystal structure of AcAs2WO8. Source: Alexandria, functional PBE with a Hubbard U.

The structure in CIF format:
```
data_AcAs2WO8
_chemical_formula_sum 'Ac2 As4 W2 O16'
_cell_length_a 7.294
_cell_length_b 7.294
_cell_length_c 6.508
_cell_angle_alpha 90.00
_cell_angle_beta 90.00
_cell_angle_gamma 90.00
_space_group_name_H-M_alt 'I -4 m 2'
_space_group_IT_number 119
_space_group_name_Hall 'I -4 -2'
loop_
_atom_site_label
_atom_site_fract_x
_atom_site_fract_y
_atom_site_fract_z
Ac1 0.000 0.000 0.000
As1 0.000 0.000 0.500
As2 0.000 0.500 0.750
W1 0.000 0.500 0.250
O1 0.000 0.210 0.327
O2 0.000 0.330 0.933
```

- Total DFT energy (no corrections): -6.67 eV/atom
- Total moment: 2.81 μB/cell